[1]
SrPRuAu (GGA-PBE, relaxed); excess energy over the best structure of this formula in the dataset = 126 meV/atom; ΔH_f (0 K) = -295 meV per atom; spin magnetization = 0.0 Bohr magnetons per cell
1.0
4.066 0.000 0.000
0.000 4.673 0.000
0.000 0.000 5.157
Sr P Ru Au
1 1 1 1
Direct
0.500 0.000 0.384 Sr
0.000 0.500 0.136 P
0.500 0.500 0.962 Ru
0.000 0.500 0.606 Au

---

[2]
Tl2SiW (GGA-PBE, relaxed); excess energy over the best structure of this formula in the dataset = 520 meV/atom; formation energy without anion corrections = 980 meV per atom; spin magnetization = 0.0 Bohr magnetons per cell
1.0
3.016 0.002 0.000
-1.384 2.679 0.000
0.000 0.000 10.423
Si Tl W
1 2 1
Direct
0.500 0.500 0.750 Si
0.000 0.000 0.007 Tl
0.000 0.000 0.493 Tl
0.500 0.500 0.250 W

---

[3]
Dy4TeC2 (GGA-PBE, relaxed); excess energy over the best structure of this formula in the dataset = 28 meV/atom; formation energy without anion corrections = -574 meV per atom; spin magnetization = 0.0 Bohr magnetons per cell
1.0
3.731 0.000 0.000
1.865 3.231 0.000
1.865 1.077 13.371
Dy Te C
4 1 2
Direct
0.121 0.121 0.637 Dy
0.278 0.278 0.165 Dy
0.722 0.722 0.835 Dy
0.879 0.879 0.363 Dy
0.000 0.000 0.000 Te
0.423 0.423 0.731 C
0.577 0.577 0.269 C

---

[4]
MgTl2OsO (GGA-PBE, relaxed); excess energy over the best structure of this formula in the dataset = 0 meV/atom; formation energy without anion corrections = 174 meV per atom; spin magnetization = 0.0 Bohr magnetons per cell
1.0
5.521 0.000 0.000
0.000 3.719 0.000
0.000 0.000 5.521
Tl Os Mg O
2 1 1 1
Direct
0.000 0.000 0.500 Tl
0.500 0.000 0.000 Tl
0.000 0.500 0.000 Os
0.500 0.500 0.500 Mg
0.000 0.000 0.000 O

---

[5]
SrCuO4 (GGA-PBE, relaxed); formation energy without anion corrections = -1141 meV per atom; spin magnetization = 2.1 Bohr magnetons per cell
1.0
3.846 -0.768 -4.012
0.030 4.332 -1.429
-1.665 3.062 10.983
Sr Cu O
2 2 8
Direct
0.017 0.285 0.294 Sr
0.983 0.715 0.706 Sr
0.801 0.308 0.851 Cu
0.199 0.692 0.149 Cu
0.751 0.237 0.676 O
0.642 0.190 0.358 O
0.786 0.440 0.001 O
0.452 0.021 0.755 O
0.249 0.763 0.324 O
0.358 0.810 0.642 O
0.214 0.560 0.999 O
0.548 0.979 0.245 O

---

[6]
La2Ga3SnPd4 (GGA-PBE, relaxed); ΔH_f (0 K) = -824 meV per atom; spin magnetization = 0.0 Bohr magnetons per cell
1.0
-2.757 2.421 2.440
-1.750 -3.681 1.675
7.157 0.191 7.897
La Ga Sn Pd
2 3 1 4
Direct
0.500 0.000 0.246 La
0.000 0.500 0.754 La
0.000 0.000 0.500 Ga
0.500 0.000 0.879 Ga
0.000 0.500 0.121 Ga
0.500 0.500 0.500 Sn
0.500 0.500 0.000 Pd
0.000 0.000 0.000 Pd
0.500 0.000 0.644 Pd
0.000 0.500 0.356 Pd

---

[7]
La2AgI (GGA-PBE, relaxed); excess energy over the best structure of this formula in the dataset = 20 meV/atom; formation energy without anion corrections = -554 meV per atom; spin magnetization = 0.0 Bohr magnetons per cell
1.0
-1.121 -3.203 -1.569
3.113 -1.681 1.208
-3.993 -2.166 7.278
I Ag La
1 1 2
Direct
0.500 0.500 0.500 I
0.500 0.500 0.000 Ag
0.000 0.000 0.768 La
0.000 0.000 0.232 La

---

[8]
Pt2C (GGA-PBE, relaxed); excess energy over the best structure of this formula in the dataset = 22 meV/atom; ΔH_f (0 K) = 579 meV per atom; spin magnetization = 0.0 Bohr magnetons per cell
1.0
1.524 5.227 0.010
-1.524 5.227 0.010
0.000 2.186 5.295
Pt C
4 2
Direct
0.379 0.379 0.626 Pt
0.385 0.385 0.110 Pt
0.132 0.132 0.609 Pt
0.661 0.661 0.060 Pt
0.031 0.031 0.993 C
0.579 0.579 0.436 C

---

The following final energy values (in Ha/atom) correspond, in order, to the records above: -0.1913, -0.1763, -0.2311, -0.1591, -0.1988, -0.1909, -0.1513, -0.2397.
The following Fermi-level density of states values (in states/eV per atom) correspond, in order, to the records above: 0.50, 0.37, 0.54, 0.67, 0.10, 0.61, 1.25, 0.36.